Record 1
CrIn2Co GGA-PBEsol optimized geometry; ΔH_f (0 K) = 0.2478 eV/atom; density of states at the Fermi level = 1.61 states/eV per cell; relative energy among the computed polymorphs = 0.0 kJ per mole of atoms; space-group type = I4/mmm, No. 139
1.0
-2.1694 2.1694 3.3407
2.1694 -2.1694 3.3407
2.1694 2.1694 -3.3407
Cr In Co
1 2 1
direct
0.0000 0.0000 0.0000
0.2500 0.7500 0.5000
0.7500 0.2500 0.5000
0.5000 0.5000 0.0000

=====

Record 2
CrIn2Co GGA-PBEsol optimized geometry; ΔH_f (0 K) = 0.2683 eV/atom; density of states at the Fermi level = 3.35 states/eV per cell; relative energy among the computed polymorphs = 2.0 kJ per mole of atoms; space-group type = P4mm, No. 99
1.0
2.8942 0.0000 0.0000
0.0000 2.8942 0.0000
0.0000 0.0000 7.7383
Cr In Co
1 2 1
direct
0.0000 0.0000 0.0000
0.0000 0.0000 0.6087
0.5000 0.5000 0.2503
0.5000 0.5000 0.8483

=====

Record 3
Cr2CoIr GGA-PBEsol optimized geometry; ΔH_f (0 K) = 0.0161 eV/atom; density of states at the Fermi level = 4.60 states/eV per cell; space-group type = C2/m, No. 12
1.0
4.2184 -1.2939 0.0000
4.2184 1.2939 0.0000
-0.7718 0.0000 4.2776
Cr Co Ir
2 1 1
direct
0.2468 0.2468 0.2350
0.7532 0.7532 0.7650
0.5000 0.5000 0.0000
0.0000 0.0000 0.5000

=====

Record 4
Cr2CoIr GGA-PBEsol optimized geometry; ΔH_f (0 K) = -0.0414 eV/atom; density of states at the Fermi level = 4.54 states/eV per cell; space-group type = I-4m2, No. 119
1.0
-1.8058 1.8058 3.5778
1.8058 -1.8058 3.5778
1.8058 1.8058 -3.5778
Cr Co Ir
2 1 1
direct
0.0000 0.0000 0.0000
0.7500 0.2500 0.5000
0.2500 0.7500 0.5000
0.5000 0.5000 0.0000